DFT (PBE-GGA) results for a geometry-optimized GeIrSCl2 structure.

Properties
Polymorph energy (0 for the lowest one) (eV/atom): 0.000
Electronic total energy (eV per atom): -3.987
E_form (uncorrected) (kJ/mol of atoms): 26.29

a b c (Å): 4.768 4.768 4.712
angles (deg): 90.00 90.00 90.00
Atoms (fractional coordinates):
1 Ge 0.000 0.000 0.000
2 Ir 0.500 0.500 0.500
3 S 0.500 0.500 0.000
4 Cl 0.000 0.500 0.500
5 Cl 0.500 0.000 0.500